[1]
NdSmSc2, optimized geometry, DFT GGA-PBE; DFT formation energy = 1.78 kcal/mol of atoms; symmetry = Fm-3m, No. 225
1.0
7.765 0.000 0.000
0.000 7.765 0.000
0.000 0.000 7.765
Nd Sm Sc
4 4 8
direct
0.000 0.000 0.000
0.000 0.500 0.500
0.500 0.000 0.500
0.500 0.500 0.000
0.000 0.000 0.500
0.000 0.500 0.000
0.500 0.000 0.000
0.500 0.500 0.500
0.250 0.250 0.250
0.250 0.250 0.750
0.250 0.750 0.250
0.250 0.750 0.750
0.750 0.250 0.250
0.750 0.250 0.750
0.750 0.750 0.250
0.750 0.750 0.750

---

[2]
Ti7Sn2H2, optimized geometry, DFT GGA-PBE; E = -0.484 Ry per atom; symmetry = C2/m, No. 12
1.0
3.591 -4.229 0.000
3.591 4.229 0.000
-0.764 0.000 5.574
Ti Sn H
7 2 2
direct
0.000 0.000 0.000
0.165 0.501 0.838
0.333 0.333 0.342
0.499 0.835 0.162
0.501 0.165 0.838
0.667 0.667 0.658
0.835 0.499 0.162
0.175 0.825 0.500
0.825 0.175 0.500
0.255 0.255 0.008
0.745 0.745 0.992

---

[3]
Y5Th3N8, optimized geometry, DFT GGA-PBE; formation energy (no corrections) = -1646 meV per atom; symmetry = R-3m, No. 166
1.0
3.558 2.054 5.797
-3.558 2.054 5.797
0.000 -4.108 5.797
Y Th N
5 3 8
direct
0.000 0.000 0.000
0.000 0.500 0.500
0.500 0.000 0.500
0.500 0.500 0.000
0.500 0.500 0.500
0.000 0.000 0.500
0.000 0.500 0.000
0.500 0.000 0.000
0.250 0.250 0.750
0.250 0.750 0.250
0.250 0.750 0.750
0.252 0.252 0.252
0.748 0.748 0.748
0.750 0.250 0.250
0.750 0.250 0.750
0.750 0.750 0.250